No. 1
SrCa4Ga4 (GGA-PBE, relaxed); electronic total energy = -24.30 eV/f.u.; calculated formation energy = -0.28 eV/atom
1.0
9.833 0.000 0.000
0.000 9.833 0.000
0.000 0.000 6.103
Sr Ca Ga
2 8 8
direct
0.250 0.250 0.250
0.750 0.750 0.750
0.094 0.649 0.124
0.149 0.906 0.624
0.351 0.594 0.624
0.406 0.851 0.124
0.594 0.149 0.876
0.649 0.406 0.376
0.851 0.094 0.376
0.906 0.351 0.876
0.036 0.594 0.622
0.094 0.964 0.122
0.406 0.536 0.122
0.464 0.906 0.622
0.536 0.094 0.378
0.594 0.464 0.878
0.906 0.036 0.878
0.964 0.406 0.378



No. 2
SrCaGa4 (GGA-PBE, relaxed); electronic total energy = -18.71 eV/f.u.; calculated formation energy = -0.49 eV/atom
1.0
-2.160 3.749 4.617
2.160 -3.749 4.617
2.160 3.749 -4.617
Sr Ca Ga
1 1 4
direct
0.000 0.000 0.000
0.500 0.500 0.000
0.085 0.752 0.334
0.418 0.752 0.666
0.582 0.248 0.334
0.915 0.248 0.666



No. 3
Sr2CaGa2 (GGA-PBE, relaxed); electronic total energy = -12.28 eV/f.u.; calculated formation energy = -0.17 eV/atom
1.0
3.459 -8.378 0.000
3.459 8.378 0.000
0.000 0.000 6.200
Sr Ca Ga
4 2 4
direct
0.082 0.918 0.750
0.284 0.716 0.250
0.716 0.284 0.750
0.918 0.082 0.250
0.500 0.500 0.000
0.500 0.500 0.500
0.085 0.300 0.750
0.300 0.085 0.250
0.700 0.915 0.750
0.915 0.700 0.250



No. 4
Sr2CaGa6 (GGA-PBE, relaxed); electronic total energy = -25.87 eV/f.u.; calculated formation energy = -0.26 eV/atom
1.0
-1.771 4.905 6.609
1.771 -4.905 6.609
1.771 4.905 -6.609
Sr Ca Ga
2 1 6
direct
0.134 0.134 0.000
0.866 0.866 0.000
0.500 0.000 0.500
0.125 0.319 0.805
0.216 0.500 0.716
0.486 0.681 0.805
0.514 0.319 0.195
0.784 0.500 0.284
0.875 0.681 0.195



No. 5
Sr2Ca2Ga (GGA-PBE, relaxed); electronic total energy = -9.86 eV/f.u.; calculated formation energy = 0.11 eV/atom
1.0
8.346 0.000 0.000
0.000 8.346 0.000
0.000 0.000 6.291
Sr Ca Ga
4 4 2
direct
0.157 0.343 0.000
0.343 0.843 0.000
0.657 0.157 0.000
0.843 0.657 0.000
0.167 0.667 0.500
0.333 0.167 0.500
0.667 0.833 0.500
0.833 0.333 0.500
0.000 0.000 0.000
0.500 0.500 0.000



No. 6
SrCa5Ga6 (GGA-PBE, relaxed); electronic total energy = -34.92 eV/f.u.; calculated formation energy = -0.42 eV/atom
1.0
2.624 -7.903 0.000
2.624 7.903 0.000
0.000 0.000 7.398
Sr Ca Ga
1 5 6
direct
0.000 0.000 0.000
0.000 0.000 0.500
0.332 0.668 0.000
0.335 0.665 0.500
0.665 0.335 0.500
0.668 0.332 0.000
0.170 0.830 0.265
0.170 0.830 0.735
0.500 0.500 0.269
0.500 0.500 0.731
0.830 0.170 0.265
0.830 0.170 0.735



Q: Which of these has the highest calculated formation energy?
A: Sr2Ca2Ga



Q: Look up the electronic total energy of the first one.
A: -24.30 eV/f.u.



Q: electronic total energy of number 4 (Sr2CaGa6)?
A: -25.87 eV/f.u.